An optimized crystal structure of LiMgIn4. Source: the Alexandria database, functional PBE.

```
LiMgIn4
1.0
4.606 0.000 0.000
0.000 4.606 0.000
0.000 0.000 7.216
Li Mg In
1 1 4
Direct
0.000 0.000 0.000 Li
0.500 0.500 0.500 Mg
0.000 0.500 0.226 In
0.000 0.500 0.774 In
0.500 0.000 0.226 In
0.500 0.000 0.774 In
```

Output
Raw total energy   -2.423 eV/atom
Symmetry   No. 123
DFT formation energy   -0.013 eV/atom
Theoretical density   5320 kg/m3

***

An optimized crystal structure of Li6Mg2In. Source: the Alexandria database, functional PBE.

```
Li6Mg2In
1.0
-2.432 2.772 7.003
2.432 -2.772 7.003
2.432 2.772 -7.003
Li Mg In
6 2 1
Direct
0.056 0.804 0.252 Li
0.239 0.000 0.239 Li
0.448 0.196 0.252 Li
0.552 0.804 0.748 Li
0.761 0.000 0.761 Li
0.944 0.196 0.748 Li
0.108 0.608 0.500 Mg
0.892 0.392 0.500 Mg
0.500 0.500 0.000 In
```

Output
Raw total energy   -1.951 eV/atom
Symmetry   No. 71
DFT formation energy   -0.017 eV/atom
Theoretical density   1804 kg/m3

***

An optimized crystal structure of LiMg4In2. Source: the Alexandria database, functional PBE.

```
LiMg4In2
1.0
8.344 0.000 0.000
0.000 8.344 0.000
0.000 0.000 4.819
Li Mg In
2 8 4
Direct
0.000 0.000 0.000 Li
0.500 0.500 0.500 Li
0.112 0.363 0.000 Mg
0.137 0.612 0.500 Mg
0.363 0.112 0.000 Mg
0.388 0.863 0.500 Mg
0.612 0.137 0.500 Mg
0.637 0.888 0.000 Mg
0.863 0.388 0.500 Mg
0.888 0.637 0.000 Mg
0.143 0.143 0.500 In
0.357 0.643 0.000 In
0.643 0.357 0.000 In
0.857 0.857 0.500 In
```

Output
Raw total energy   -2.007 eV/atom
Symmetry   No. 136
DFT formation energy   -0.040 eV/atom
Theoretical density   3305 kg/m3

***

An optimized crystal structure of LiMg2In. Source: the Alexandria database, functional PBE.

```
LiMg2In
1.0
5.305 -1.861 0.000
5.305 1.861 0.000
-2.080 0.000 4.368
Li Mg In
1 2 1
Direct
0.000 0.000 0.000 Li
0.509 0.509 0.508 Mg
0.748 0.748 0.248 Mg
0.265 0.265 0.766 In
```

Output
Raw total energy   -2.089 eV/atom
Symmetry   No. 8
DFT formation energy   -0.129 eV/atom
Theoretical density   3280 kg/m3

***

An optimized crystal structure of LiMgIn2. Source: the Alexandria database, functional PBE.

```
LiMgIn2
1.0
3.245 0.000 0.000
0.000 5.114 0.000
-0.002 0.000 5.284
Li Mg In
1 1 2
Direct
0.000 0.000 0.000 Li
0.005 0.500 0.639 Mg
0.502 0.000 0.503 In
0.503 0.500 0.132 In
```

Output
Raw total energy   -2.429 eV/atom
Symmetry   No. 6
DFT formation energy   -0.182 eV/atom
Theoretical density   4940 kg/m3

***

An optimized crystal structure of LiMg2In3. Source: the Alexandria database, functional PBE.

```
LiMg2In3
1.0
2.288 -6.895 0.000
2.288 6.895 0.000
0.000 0.000 8.530
Li Mg In
2 4 6
Direct
0.166 0.834 0.000 Li
0.834 0.166 0.000 Li
0.167 0.833 0.500 Mg
0.500 0.500 0.000 Mg
0.500 0.500 0.500 Mg
0.833 0.167 0.500 Mg
0.000 0.000 0.248 In
0.000 0.000 0.752 In
0.331 0.669 0.241 In
0.331 0.669 0.759 In
0.669 0.331 0.241 In
0.669 0.331 0.759 In
```

Output
Raw total energy   -2.375 eV/atom
Symmetry   No. 65
DFT formation energy   -0.156 eV/atom
Theoretical density   4936 kg/m3

***

An optimized crystal structure of Li3MgIn5. Source: the Alexandria database, functional PBE.

```
Li3MgIn5
1.0
-4.150 4.150 6.062
4.150 -4.150 6.062
4.150 4.150 -6.062
Li Mg In
6 2 10
Direct
0.101 0.601 0.702 Li
0.250 0.250 0.000 Li
0.399 0.101 0.500 Li
0.601 0.899 0.500 Li
0.750 0.750 0.000 Li
0.899 0.399 0.298 Li
0.250 0.750 0.500 Mg
0.750 0.250 0.500 Mg
0.000 0.000 0.000 In
0.082 0.161 0.500 In
0.161 0.661 0.080 In
0.339 0.418 0.500 In
0.418 0.918 0.080 In
0.500 0.500 0.000 In
0.582 0.082 0.920 In
0.661 0.582 0.500 In
0.839 0.339 0.920 In
0.918 0.839 0.500 In
```

Output
Raw total energy   -2.408 eV/atom
Symmetry   No. 140
DFT formation energy   -0.071 eV/atom
Theoretical density   4924 kg/m3

***

An optimized crystal structure of Li5Mg5In. Source: the Alexandria database, functional PBE.

```
Li5Mg5In
1.0
5.229 0.000 0.000
-2.615 4.529 0.000
0.000 0.000 9.678
Li Mg In
5 5 1
Direct
0.000 0.000 0.227 Li
0.000 0.000 0.773 Li
0.344 0.172 0.000 Li
0.828 0.172 0.000 Li
0.828 0.656 0.000 Li
0.000 0.000 0.500 Mg
0.333 0.667 0.174 Mg
0.333 0.667 0.826 Mg
0.667 0.333 0.316 Mg
0.667 0.333 0.684 Mg
0.333 0.667 0.500 In
```

Output
Raw total energy   -1.810 eV/atom
Symmetry   No. 187
DFT formation energy   0.033 eV/atom
Theoretical density   1964 kg/m3

***

An optimized crystal structure of Li4Mg4In. Source: the Alexandria database, functional PBE.

```
Li4Mg4In
1.0
-4.581 4.581 2.212
4.581 -4.581 2.212
4.581 4.581 -2.212
Li Mg In
4 4 1
Direct
0.159 0.159 0.318 Li
0.159 0.841 0.000 Li
0.841 0.159 0.000 Li
0.841 0.841 0.682 Li
0.172 0.500 0.672 Mg
0.500 0.172 0.672 Mg
0.500 0.828 0.328 Mg
0.828 0.500 0.328 Mg
0.500 0.500 0.000 In
```

Output
Raw total energy   -1.977 eV/atom
Symmetry   No. 139
DFT formation energy   -0.113 eV/atom
Theoretical density   2145 kg/m3

***

An optimized crystal structure of Li3MgIn. Source: the Alexandria database, functional PBE.

```
Li3MgIn
1.0
2.514 -7.083 0.000
2.514 7.083 0.000
-1.033 0.000 5.661
Li Mg In
6 2 2
Direct
0.019 0.981 0.750 Li
0.193 0.796 0.503 Li
0.204 0.807 0.997 Li
0.796 0.193 0.003 Li
0.807 0.204 0.497 Li
0.981 0.019 0.250 Li
0.410 0.590 0.750 Mg
0.590 0.410 0.250 Mg
0.375 0.625 0.250 In
0.625 0.375 0.750 In
```

Output
Raw total energy   -2.159 eV/atom
Symmetry   No. 15
DFT formation energy   -0.144 eV/atom
Theoretical density   2635 kg/m3

***

An optimized crystal structure of Li3Mg2In. Source: the Alexandria database, functional PBE.

```
Li3Mg2In
1.0
0.000 4.783 8.431
2.992 0.000 8.431
2.992 4.783 0.000
Li Mg In
6 4 2
Direct
0.165 0.672 0.328 Li
0.167 0.167 0.833 Li
0.328 0.835 0.165 Li
0.672 0.165 0.835 Li
0.833 0.833 0.167 Li
0.835 0.328 0.672 Li
0.247 0.753 0.753 Mg
0.250 0.250 0.250 Mg
0.750 0.750 0.750 Mg
0.753 0.247 0.247 Mg
0.339 0.339 0.661 In
0.661 0.661 0.339 In
```

Output
Raw total energy   -2.078 eV/atom
Symmetry   No. 69
DFT formation energy   -0.134 eV/atom
Theoretical density   2536 kg/m3

***

An optimized crystal structure of Li4MgIn4. Source: the Alexandria database, functional PBE.

```
Li4MgIn4
1.0
6.306 0.000 0.000
0.000 6.306 0.000
0.000 0.000 9.861
Li Mg In
8 2 8
Direct
0.031 0.250 0.188 Li
0.250 0.031 0.688 Li
0.250 0.469 0.688 Li
0.469 0.250 0.188 Li
0.531 0.750 0.812 Li
0.750 0.531 0.312 Li
0.750 0.969 0.312 Li
0.969 0.750 0.812 Li
0.250 0.750 0.250 Mg
0.750 0.250 0.750 Mg
0.008 0.250 0.481 In
0.250 0.008 0.981 In
0.250 0.492 0.981 In
0.492 0.250 0.481 In
0.508 0.750 0.519 In
0.750 0.508 0.019 In
0.750 0.992 0.019 In
0.992 0.750 0.519 In
```

Output
Raw total energy   -2.377 eV/atom
Symmetry   No. 137
DFT formation energy   -0.132 eV/atom
Theoretical density   4331 kg/m3

***

An optimized crystal structure of LiMgIn2. Source: the Alexandria database, functional PBE.

```
LiMgIn2
1.0
3.236 0.000 0.000
0.000 4.262 0.000
-0.093 0.000 6.343
Li Mg In
1 1 2
Direct
0.000 0.000 0.000 Li
0.000 0.000 0.500 Mg
0.498 0.500 0.758 In
0.502 0.500 0.242 In
```

Output
Raw total energy   -2.435 eV/atom
Symmetry   No. 10
DFT formation energy   -0.188 eV/atom
Theoretical density   4952 kg/m3

***

An optimized crystal structure of LiMg2In2. Source: the Alexandria database, functional PBE.

```
LiMg2In2
1.0
8.734 0.000 0.000
0.000 8.734 0.000
0.000 0.000 3.176
Li Mg In
2 4 4
Direct
0.000 0.000 0.000 Li
0.500 0.500 0.000 Li
0.126 0.374 0.000 Mg
0.374 0.874 0.000 Mg
0.626 0.126 0.000 Mg
0.874 0.626 0.000 Mg
0.172 0.672 0.500 In
0.328 0.172 0.500 In
0.672 0.828 0.500 In
0.828 0.328 0.500 In
```

Output
Raw total energy   -2.177 eV/atom
Symmetry   No. 127
DFT formation energy   -0.061 eV/atom
Theoretical density   3909 kg/m3

***

An optimized crystal structure of LiMgIn2. Source: the Alexandria database, functional PBE.

```
LiMgIn2
1.0
1.650 0.953 9.653
-1.650 0.953 9.653
0.000 -1.905 9.653
Li Mg In
1 1 2
Direct
0.000 0.000 0.000 Li
0.166 0.166 0.166 Mg
0.413 0.413 0.413 In
0.587 0.587 0.587 In
```

Output
Raw total energy   -2.396 eV/atom
Symmetry   No. 160
DFT formation energy   -0.150 eV/atom
Theoretical density   4757 kg/m3

***

An optimized crystal structure of Li3Mg4In2. Source: the Alexandria database, functional PBE.

```
Li3Mg4In2
1.0
4.237 -2.439 0.000
4.237 2.439 0.000
-0.021 0.000 8.986
Li Mg In
3 4 2
Direct
0.000 0.000 0.000 Li
0.333 0.333 0.451 Li
0.667 0.667 0.549 Li
0.000 0.000 0.332 Mg
0.000 0.000 0.668 Mg
0.333 0.333 0.111 Mg
0.667 0.667 0.889 Mg
0.333 0.333 0.774 In
0.667 0.667 0.226 In
```

Output
Raw total energy   -2.119 eV/atom
Symmetry   No. 12
DFT formation energy   -0.164 eV/atom
Theoretical density   3108 kg/m3

***

An optimized crystal structure of Li3Mg2In. Source: the Alexandria database, functional PBE.

```
Li3Mg2In
1.0
2.320 -6.965 0.000
2.320 6.965 0.000
0.000 0.000 3.635
Li Mg In
3 2 1
Direct
0.000 0.000 0.000 Li
0.336 0.664 0.000 Li
0.664 0.336 0.000 Li
0.164 0.836 0.500 Mg
0.836 0.164 0.500 Mg
0.500 0.500 0.500 In
```

Output
Raw total energy   -2.097 eV/atom
Symmetry   No. 65
DFT formation energy   -0.152 eV/atom
Theoretical density   2605 kg/m3

***

An optimized crystal structure of LiMg2In2. Source: the Alexandria database, functional PBE.

```
LiMg2In2
1.0
7.677 0.000 0.000
0.000 7.677 0.000
0.000 0.000 4.122
Li Mg In
2 4 4
Direct
0.000 0.000 0.000 Li
0.500 0.500 0.000 Li
0.139 0.361 0.000 Mg
0.361 0.861 0.000 Mg
0.639 0.139 0.000 Mg
0.861 0.639 0.000 Mg
0.164 0.664 0.500 In
0.336 0.164 0.500 In
0.664 0.836 0.500 In
0.836 0.336 0.500 In
```

Output
Raw total energy   -2.131 eV/atom
Symmetry   No. 127
DFT formation energy   -0.015 eV/atom
Theoretical density   3899 kg/m3

***

An optimized crystal structure of LiMg7In2. Source: the Alexandria database, functional PBE.

```
LiMg7In2
1.0
4.077 -7.269 0.000
4.077 7.269 0.000
0.000 0.000 4.995
Li Mg In
1 7 2
Direct
0.000 0.000 0.000 Li
0.070 0.289 0.500 Mg
0.206 0.794 0.000 Mg
0.289 0.070 0.500 Mg
0.500 0.500 0.500 Mg
0.711 0.930 0.500 Mg
0.794 0.206 0.000 Mg
0.930 0.711 0.500 Mg
0.300 0.700 0.500 In
0.700 0.300 0.500 In
```

Output
Raw total energy   -1.647 eV/atom
Symmetry   No. 65
DFT formation energy   0.209 eV/atom
Theoretical density   2281 kg/m3

***

An optimized crystal structure of LiMgIn2. Source: the Alexandria database, functional PBE.

```
LiMgIn2
1.0
1.656 0.956 9.558
-1.656 0.956 9.558
0.000 -1.913 9.558
Li Mg In
1 1 2
Direct
0.000 0.000 0.000 Li
0.500 0.500 0.500 Mg
0.253 0.253 0.253 In
0.747 0.747 0.747 In
```

Output
Raw total energy   -2.411 eV/atom
Symmetry   No. 166
DFT formation energy   -0.164 eV/atom
Theoretical density   4768 kg/m3